! CsPuMo, relaxed, DFT PBE; values from VASP
&SYSTEM
  ibrav = 0, nat = 3, ntyp = 3
/
ATOMIC_SPECIES
Mo 95.94 Mo.upf
Pu 244.00 Pu.upf
Cs 132.91 Cs.upf
CELL_PARAMETERS angstrom
0.000 3.397 3.397
3.397 0.000 3.397
3.397 3.397 0.000
ATOMIC_POSITIONS angstrom
Mo 1.698 1.698 1.698
Pu 0.000 0.000 0.000
Cs 5.095 5.095 5.095
! **Space group**: F-43m
! **Theoretical density**: 10.016 g cm⁻³
! **Raw total energy**: -5.94 eV/atom
! **Total moment**: 0.01 μB/atom

=====

! GaAuIBr3, relaxed, DFT PBE; values from VASP
&SYSTEM
  ibrav = 0, nat = 6, ntyp = 4
/
ATOMIC_SPECIES
Br 79.90 Br.upf
Ga 69.72 Ga.upf
Au 196.97 Au.upf
I 126.90 I.upf
CELL_PARAMETERS angstrom
6.146 0.000 0.000
-0.145 6.229 0.000
-3.029 -2.773 5.666
ATOMIC_POSITIONS angstrom
Br 1.391 4.570 1.412
Ga -0.027 3.275 2.842
Au 6.041 0.125 0.155
Br -1.218 -1.481 4.158
I 4.465 1.838 1.430
Br 1.351 1.870 4.167
! **Space group**: P1
! **Theoretical density**: 4.848 g cm⁻³
! **Raw total energy**: -2.63 eV/atom

=====

! LuGePbSe3, relaxed, DFT PBE; values from VASP
&SYSTEM
  ibrav = 0, nat = 12, ntyp = 4
/
ATOMIC_SPECIES
Pb 207.20 Pb.upf
Se 78.96 Se.upf
Lu 174.97 Lu.upf
Ge 72.64 Ge.upf
CELL_PARAMETERS angstrom
1.949 -7.268 0.000
1.949 7.268 0.000
0.000 0.000 11.400
ATOMIC_POSITIONS angstrom
Pb 1.949 4.524 2.850
Se 1.949 5.295 11.312
Se 1.949 -0.096 2.850
Pb 1.949 -4.524 8.550
Lu 1.949 0.000 0.000
Se 1.949 -5.295 5.612
Ge 1.949 5.422 8.550
Lu 1.949 0.000 5.700
Se 1.949 5.295 5.788
Ge 1.949 -5.422 2.850
Se 1.949 -5.295 0.088
Se 1.949 0.096 8.550
! **Space group**: Cmcm
! **Theoretical density**: 7.111 g cm⁻³
! **Raw total energy**: -4.69 eV/atom
! **Total moment**: 0.00 μB/atom

=====

! NdHfSi, relaxed, DFT PBE; values from VASP
&SYSTEM
  ibrav = 0, nat = 3, ntyp = 3
/
ATOMIC_SPECIES
Si 28.09 Si.upf
Hf 178.49 Hf.upf
Nd 144.24 Nd.upf
CELL_PARAMETERS angstrom
-4.574 -0.593 -1.007
-3.279 2.374 2.429
-2.427 3.472 -2.083
ATOMIC_POSITIONS angstrom
Si 0.000 0.000 0.000
Hf -2.570 1.314 -0.165
Nd -7.710 3.941 -0.496
! **Space group**: F-43m
! **Theoretical density**: 7.830 g cm⁻³
! **Raw total energy**: -6.90 eV/atom
! **Total moment**: 0.00 μB/atom
! **Energy relative to the lowest polymorph listed for this composition**: 0.000 eV per atom

=====

! ScBeReW, relaxed, DFT PBE; values from VASP
&SYSTEM
  ibrav = 0, nat = 4, ntyp = 4
/
ATOMIC_SPECIES
Sc 44.96 Sc.upf
Re 186.21 Re.upf
W 183.84 W.upf
Be 9.01 Be.upf
CELL_PARAMETERS angstrom
0.000 3.104 3.104
3.104 0.000 3.104
3.104 3.104 0.000
ATOMIC_POSITIONS angstrom
Sc 3.104 3.104 3.104
Re 0.000 0.000 0.000
W 1.552 1.552 1.552
Be 4.657 4.657 4.657
! **Space group**: F-43m
! **Theoretical density**: 11.767 g cm⁻³
! **Raw total energy**: -8.87 eV/atom
! **Total moment**: 0.00 μB/atom
! **Energy relative to the lowest polymorph listed for this composition**: 0.005 eV per atom

=====

! SrZnCoTe3, relaxed, DFT PBE; values from VASP
&SYSTEM
  ibrav = 0, nat = 12, ntyp = 4
/
ATOMIC_SPECIES
Te 127.60 Te.upf
Zn 65.41 Zn.upf
Co 58.93 Co.upf
Sr 87.62 Sr.upf
CELL_PARAMETERS angstrom
-6.636 -3.226 -0.170
-4.846 -3.964 -3.908
4.198 -8.832 3.752
ATOMIC_POSITIONS angstrom
Te -4.150 -2.965 -1.402
Zn -2.990 -10.468 0.634
Co 0.000 0.000 0.000
Te -4.964 -9.205 -0.560
Te -2.320 -6.817 0.235
Te 0.178 -2.754 0.629
Zn -4.294 -5.554 -0.960
Co 2.099 -4.416 1.876
Te -7.462 -13.268 -0.954
Sr 0.495 -8.286 1.872
Te -3.133 -13.056 1.076
Sr -7.778 -7.736 -2.197
! **Space group**: Cmcm
! **Theoretical density**: 6.334 g cm⁻³
! **Raw total energy**: -3.72 eV/atom
! **Total moment**: 0.17 μB/atom
! **Energy relative to the lowest polymorph listed for this composition**: 0.005 eV per atom

=====

! Ga2CuTc, relaxed, DFT PBE; values from VASP
&SYSTEM
  ibrav = 0, nat = 4, ntyp = 3
/
ATOMIC_SPECIES
Ga 69.72 Ga.upf
Tc 98.00 Tc.upf
Cu 63.55 Cu.upf
CELL_PARAMETERS angstrom
-2.943 -1.676 -2.668
-4.129 1.198 0.318
-1.775 2.455 -3.067
ATOMIC_POSITIONS angstrom
Ga -6.635 1.483 -4.063
Tc -4.423 0.989 -2.709
Ga 0.000 0.000 0.000
Cu -2.212 0.494 -1.354
! **Space group**: F-43m
! **Theoretical density**: 8.821 g cm⁻³
! **Raw total energy**: -4.81 eV/atom
! **Total moment**: 0.00 μB/atom

=====

! Os2Au2O5, relaxed, DFT PBE; values from VASP
&SYSTEM
  ibrav = 0, nat = 9, ntyp = 3
/
ATOMIC_SPECIES
Au 196.97 Au.upf
O 16.00 O.upf
Os 190.23 Os.upf
CELL_PARAMETERS angstrom
-5.575 -8.520 -1.217
2.572 -1.822 0.976
-1.027 0.225 3.128
ATOMIC_POSITIONS angstrom
Au -0.802 -3.204 1.708
O -1.143 -0.849 1.427
Os 0.000 0.000 0.000
O -2.015 -5.058 1.443
O -3.659 -8.469 -0.592
Os -2.787 -4.260 -0.608
Au -3.228 -6.913 1.178
O 0.657 -1.873 0.350
O -5.459 -7.445 0.484
! **Space group**: P4/mmm
! **Theoretical density**: 12.707 g cm⁻³
! **Raw total energy**: -5.62 eV/atom
! **Total moment**: 0.39 μB/atom
! **Energy relative to the lowest polymorph listed for this composition**: 0.355 eV per atom

=====

! Rb4CdSi2O7, relaxed, DFT PBE; values from VASP
&SYSTEM
  ibrav = 0, nat = 14, ntyp = 4
/
ATOMIC_SPECIES
Si 28.09 Si.upf
Rb 85.47 Rb.upf
Cd 112.41 Cd.upf
O 16.00 O.upf
CELL_PARAMETERS angstrom
-3.256 -4.626 2.956
6.510 -0.138 2.744
-3.714 5.845 1.982
ATOMIC_POSITIONS angstrom
Si -1.091 0.301 1.217
Rb -3.231 2.755 2.574
Cd -0.230 0.540 3.841
O 0.463 2.000 5.342
Si 0.631 0.780 6.465
Rb -0.850 -3.035 4.351
O 0.000 0.000 0.000
O 0.083 -0.611 5.711
O -4.389 0.785 4.332
Rb 0.389 4.115 3.331
Rb 2.771 -1.674 5.108
O -0.923 -0.919 2.340
O 3.928 0.295 3.350
O -0.543 1.691 1.971
! **Space group**: P-1
! **Theoretical density**: 3.816 g cm⁻³
! **Raw total energy**: -5.66 eV/atom
! **Energy relative to the lowest polymorph listed for this composition**: 0.000 eV per atom

=====

! TbDyB2Pd2N2, relaxed, DFT PBE; values from VASP
&SYSTEM
  ibrav = 0, nat = 8, ntyp = 5
/
ATOMIC_SPECIES
Pd 106.42 Pd.upf
N 14.01 N.upf
B 10.81 B.upf
Dy 162.50 Dy.upf
Tb 158.93 Tb.upf
CELL_PARAMETERS angstrom
3.705 0.000 0.000
0.000 3.705 0.000
0.000 0.000 7.627
ATOMIC_POSITIONS angstrom
Pd 1.852 0.000 3.811
N 1.852 1.852 6.570
B 1.852 1.852 5.140
Dy 1.852 1.852 1.235
B 0.000 0.000 2.490
Pd 0.000 1.852 3.811
N 0.000 0.000 1.062
Tb 0.000 0.000 6.388
! **Space group**: P4mm
! **Theoretical density**: 9.262 g cm⁻³
! **Raw total energy**: -7.25 eV/atom
! **Total moment**: 0.00 μB/atom

=====

! IrPdW2, relaxed, DFT PBE; values from VASP
&SYSTEM
  ibrav = 0, nat = 4, ntyp = 3
/
ATOMIC_SPECIES
Pd 106.42 Pd.upf
Ir 192.22 Ir.upf
W 183.84 W.upf
CELL_PARAMETERS angstrom
-2.594 -0.468 3.583
0.116 3.043 3.242
-3.459 2.729 0.614
ATOMIC_POSITIONS angstrom
Pd -4.453 3.977 5.579
Ir -2.969 2.651 3.720
W 0.000 0.000 0.000
W -1.484 1.326 1.860
! **Space group**: F-43m
! **Theoretical density**: 17.780 g cm⁻³
! **Raw total energy**: -9.80 eV/atom
! **Total moment**: 0.01 μB/atom
! **ΔE_f**: 183 meV/atom

=====

! ZnGaCuW, relaxed, DFT PBE; values from VASP
&SYSTEM
  ibrav = 0, nat = 4, ntyp = 4
/
ATOMIC_SPECIES
Ga 69.72 Ga.upf
Zn 65.41 Zn.upf
W 183.84 W.upf
Cu 63.55 Cu.upf
CELL_PARAMETERS angstrom
-1.610 -3.818 1.340
-1.806 -0.336 3.948
-4.305 -0.532 0.388
ATOMIC_POSITIONS angstrom
Ga 0.000 0.000 0.000
Zn -1.930 -1.171 1.419
W -3.860 -2.343 2.838
Cu -5.790 -3.514 4.257
! **Space group**: F-43m
! **Theoretical density**: 10.879 g cm⁻³
! **Raw total energy**: -4.69 eV/atom
! **Total moment**: 0.43 μB/atom
! **Energy relative to the lowest polymorph listed for this composition**: 0.135 eV per atom

=====

! RbGeMo, relaxed, DFT PBE; values from VASP
&SYSTEM
  ibrav = 0, nat = 3, ntyp = 3
/
ATOMIC_SPECIES
Ge 72.64 Ge.upf
Rb 85.47 Rb.upf
Mo 95.94 Mo.upf
CELL_PARAMETERS angstrom
0.000 3.696 3.696
3.696 0.000 3.696
3.696 3.696 0.000
ATOMIC_POSITIONS angstrom
Ge 1.848 1.848 1.848
Rb 0.000 0.000 0.000
Mo 5.544 5.544 5.544
! **Space group**: F-43m
! **Theoretical density**: 4.177 g cm⁻³
! **Raw total energy**: -3.40 eV/atom
! **Total moment**: 1.03 μB/atom
! **Energy relative to the lowest polymorph listed for this composition**: 0.693 eV per atom

=====

! CsGaSb2Ir, relaxed, DFT PBE; values from VASP
&SYSTEM
  ibrav = 0, nat = 5, ntyp = 4
/
ATOMIC_SPECIES
Sb 121.76 Sb.upf
Cs 132.91 Cs.upf
Ga 69.72 Ga.upf
Ir 192.22 Ir.upf
CELL_PARAMETERS angstrom
-0.580 -6.947 4.232
-1.526 -1.752 7.817
-2.072 4.221 -6.663
ATOMIC_POSITIONS angstrom
Sb -0.732 -3.026 4.192
Sb -1.373 -5.673 7.857
Cs 0.000 0.000 0.000
Ga -1.852 -3.538 1.796
Ir -2.325 -0.940 3.589
! **Space group**: I-4m2
! **Theoretical density**: 6.934 g cm⁻³
! **Raw total energy**: -4.29 eV/atom
! **Total moment**: 0.00 μB/atom

=====

! BeZnFeGe, relaxed, DFT PBE; values from VASP
&SYSTEM
  ibrav = 0, nat = 4, ntyp = 4
/
ATOMIC_SPECIES
Be 9.01 Be.upf
Zn 65.41 Zn.upf
Fe 55.84 Fe.upf
Ge 72.64 Ge.upf
CELL_PARAMETERS angstrom
-2.303 -3.215 -1.304
-4.042 0.541 -0.845
-1.340 -0.139 -3.941
ATOMIC_POSITIONS angstrom
Be -1.921 -0.703 -1.523
Zn -5.764 -2.110 -4.568
Fe -3.842 -1.407 -3.045
Ge 0.000 0.000 0.000
! **Space group**: F-43m
! **Theoretical density**: 6.597 g cm⁻³
! **Raw total energy**: -4.07 eV/atom
! **Total moment**: 0.47 μB/atom
! **Energy relative to the lowest polymorph listed for this composition**: 0.157 eV per atom

=====

! KPdPt, relaxed, DFT PBE; values from VASP
&SYSTEM
  ibrav = 0, nat = 3, ntyp = 3
/
ATOMIC_SPECIES
Pd 106.42 Pd.upf
K 39.10 K.upf
Pt 195.08 Pt.upf
CELL_PARAMETERS angstrom
-2.403 -2.287 3.342
-3.352 2.236 2.437
-4.530 -1.087 -0.684
ATOMIC_POSITIONS angstrom
Pd -2.571 -0.285 1.274
K 0.000 0.000 0.000
Pt -7.713 -0.854 3.821
! **Space group**: F-43m
! **Theoretical density**: 7.662 g cm⁻³
! **Raw total energy**: -3.01 eV/atom
! **Total moment**: 0.00 μB/atom
! **Energy relative to the lowest polymorph listed for this composition**: 0.518 eV per atom

=====

! TaPd2Pb, relaxed, DFT PBE; values from VASP
&SYSTEM
  ibrav = 0, nat = 4, ntyp = 3
/
ATOMIC_SPECIES
Pd 106.42 Pd.upf
Pb 207.20 Pb.upf
Ta 180.95 Ta.upf
CELL_PARAMETERS angstrom
-3.815 -0.739 -2.575
-3.800 2.618 0.658
-1.273 3.113 -3.227
ATOMIC_POSITIONS angstrom
Pd -6.665 3.744 -3.858
Pb -4.443 2.496 -2.572
Ta -2.222 1.248 -1.286
Pd 0.000 0.000 0.000
! **Space group**: F-43m
! **Theoretical density**: 13.936 g cm⁻³
! **Raw total energy**: -6.40 eV/atom
! **Total moment**: 0.00 μB/atom

=====

! BaAlCd2Sn, relaxed, DFT PBE; values from VASP
&SYSTEM
  ibrav = 0, nat = 10, ntyp = 4
/
ATOMIC_SPECIES
Al 26.98 Al.upf
Cd 112.41 Cd.upf
Sn 118.71 Sn.upf
Ba 137.33 Ba.upf
CELL_PARAMETERS angstrom
-2.197 -2.915 -3.062
3.551 0.601 -3.120
5.882 -9.537 4.859
ATOMIC_POSITIONS angstrom
Al 2.941 -4.769 2.429
Cd 1.133 -5.076 0.312
Cd 0.000 0.000 0.000
Cd 0.677 -1.157 -3.091
Sn -0.258 -2.820 -0.837
Cd 5.426 -5.618 1.455
Sn 6.817 -7.874 2.605
Al 3.618 -5.926 -0.662
Ba 3.281 -2.141 -0.316
Ba 3.278 -8.554 2.084
! **Space group**: P4/nmm
! **Theoretical density**: 6.083 g cm⁻³
! **Raw total energy**: -2.62 eV/atom

=====

! PmGePO, relaxed, DFT PBE; values from VASP
&SYSTEM
  ibrav = 0, nat = 8, ntyp = 4
/
ATOMIC_SPECIES
O 16.00 O.upf
Ge 72.64 Ge.upf
Pm 145.00 Pm.upf
P 30.97 P.upf
CELL_PARAMETERS angstrom
4.454 0.000 0.000
0.000 4.698 0.000
0.000 0.000 6.746
ATOMIC_POSITIONS angstrom
O 2.227 0.736 6.254
O 2.227 3.963 2.881
Ge 0.000 3.985 3.087
Pm 2.227 1.436 3.935
Pm 2.227 3.262 0.562
Ge 0.000 0.714 6.460
P 0.000 1.841 1.930
P 0.000 2.857 5.303
! **Space group**: Pmc2_1
! **Theoretical density**: 6.225 g cm⁻³
! **Raw total energy**: -6.26 eV/atom
! **Total moment**: 0.00 μB/atom
! **Energy relative to the lowest polymorph listed for this composition**: 0.103 eV per atom

=====

! NaSrTeIr, relaxed, DFT PBE; values from VASP
&SYSTEM
  ibrav = 0, nat = 4, ntyp = 4
/
ATOMIC_SPECIES
Ir 192.22 Ir.upf
Na 22.99 Na.upf
Te 127.60 Te.upf
Sr 87.62 Sr.upf
CELL_PARAMETERS angstrom
0.000 3.568 3.568
3.568 0.000 3.568
3.568 3.568 0.000
ATOMIC_POSITIONS angstrom
Ir 3.568 3.568 3.568
Na 5.352 5.352 5.352
Te 1.784 1.784 1.784
Sr 0.000 0.000 0.000
! **Space group**: F-43m
! **Theoretical density**: 7.867 g cm⁻³
! **Raw total energy**: -3.82 eV/atom
! **Total moment**: 0.00 μB/atom
! **Energy relative to the lowest polymorph listed for this composition**: 0.119 eV per atom